Below is a geometry-optimized CeIn6Pd12 structure, with properties calculated at the GGA-PBE level.

Cell: 12.1416 12.1416 8.6559 Å, 90.00 90.00 120.00°
Space group R-3m (No. 166, hexagonal axes)
Symmetry-distinct sites (fractional):
Ce: 0.0000 0.0000 0.0000 [3 per cell]
In: 0.0592 0.5296 0.2424 [18 per cell]
Pd: 0.0000 0.3830 0.5000 [18 per cell]
Pd: 0.0801 0.1602 0.2741 [18 per cell]

Calculated volume, A^3/atom: 19.4
Energy relative to the elements, eV per atom: -0.40
Density, g/cm³: 9.49
Crystal system: trigonal
Total energy, eV per atom: -4.85